(1)
The following is a DFT calculation (PBE-GGA) of MnNiPSeN after structural relaxation.

Results
- Symmetry: P1, No. 1
- E_tot: -0.2372 Ha/atom
- Crystal system: triclinic

Structure (POSCAR):
```
MnNiPSeN
1.0
3.2840 0.0000 0.0000
1.0633 3.7090 0.0000
0.6468 1.3160 5.9246
Mn Ni P Se N
1 1 1 1 1
Direct
0.0000 0.0000 0.0000
0.0267 0.7115 0.4215
0.9201 0.5789 0.7844
0.3905 0.1681 0.2963
0.5521 0.8735 0.9034
```


(2)
The following is a DFT calculation (PBE-GGA) of MnNiPSeN after structural relaxation.

Results
- Symmetry: Cm, No. 8
- E_tot: -0.2399 Ha/atom
- Crystal system: monoclinic

Structure (POSCAR):
```
MnNiPSeN
1.0
3.7907 -1.6265 0.0000
3.7907 1.6265 0.0000
-3.2703 0.0000 6.0427
Mn Ni P Se N
1 1 1 1 1
Direct
0.0000 0.0000 0.0000
0.3790 0.3790 0.4490
0.8585 0.8585 0.2168
0.7644 0.7644 0.6294
0.6073 0.6073 0.0361
```


(3)
The following is a DFT calculation (PBE-GGA) of MnNiPSeN after structural relaxation.

Results
- Symmetry: Amm2, No. 38
- E_tot: -0.2416 Ha/atom
- Crystal system: orthorhombic

Structure (POSCAR):
```
MnNiPSeN
1.0
3.3273 0.0000 0.0000
0.0000 1.3807 7.6085
0.0000 -1.3807 7.6085
Mn Ni P Se N
1 1 1 1 1
Direct
0.0000 0.0000 0.0000
0.5000 0.7577 0.7577
0.0000 0.3079 0.3079
0.5000 0.5972 0.5972
0.0000 0.4168 0.4168
```


(4)
The following is a DFT calculation (PBE-GGA) of MnNiPSeN after structural relaxation.

Results
- Symmetry: Cm, No. 8
- E_tot: -0.2468 Ha/atom
- Crystal system: monoclinic

Structure (POSCAR):
```
MnNiPSeN
1.0
2.8421 -1.6500 0.0000
2.8421 1.6500 0.0000
-0.0004 0.0000 7.6019
Mn Ni P Se N
1 1 1 1 1
Direct
0.0000 0.0000 0.0000
0.3327 0.3327 0.4744
0.6669 0.6669 0.3384
0.3332 0.3332 0.7888
0.6664 0.6664 0.1205
```


We obtain uncorrected formation energy values of -0.020 -0.094 -0.139 -0.282 eV per atom for the records listed above, in that order.